Record 1
Compound: Rb2PmTc2N6
Source: Alexandria
Functional: PBE-GGA
Structure: optimized geometry

abc: 6.4019 6.4389 7.5160
angles: 116.89 90.00 119.81
With the nearest neighbours (Å) after each atom.
Atoms (fractional coordinates):
N 0.7692 0.0045 0.7360  1 Tc 1.78
N 0.2352 0.0045 0.7360  1 Tc 1.78
N 0.7648 0.9955 0.2640  1 Tc 1.78
N 0.7579 0.5158 0.6943  1 Tc 1.77
N 0.2308 0.9955 0.2640  1 Tc 1.78
N 0.2421 0.4842 0.3057  1 Tc 1.77
Rb 0.2816 0.5632 0.8185  8 N 3.21-3.40
Rb 0.7184 0.4368 0.1815  8 N 3.21-3.40
Tc 0.0597 0.1194 0.2100  3 N 1.77-1.78
Tc 0.9403 0.8806 0.7900  3 N 1.77-1.78
Pm 0.5000 0.0000 0.5000  6 N 2.45-2.46

Results
**Density of states at the Fermi level**: 0.34 states/eV/atom
**Total moment**: 0.0898 μB per atom
**E_form (uncorrected)**: -0.198 eV per atom

Record 2
Compound: RbPmTcN3
Source: Alexandria
Functional: PBE-GGA
Structure: optimized geometry

abc: 3.9294 7.1532 8.1828
angles: 104.13 90.00 105.94
With the nearest neighbours (Å) after each atom.
Atoms (fractional coordinates):
Tc 0.9960 0.9920 0.6633  4 N 1.85-2.05
Tc 0.0040 0.0080 0.3367  4 N 1.85-2.05
N 0.1299 0.2599 0.7795  1 Tc 1.85
N 0.8422 0.6844 0.6185  1 Tc 2.05
N 0.5114 0.0228 0.3363  2 Tc 1.97
N 0.1578 0.3156 0.3815  1 Tc 2.05
N 0.4886 0.9772 0.6637  2 Tc 1.97
N 0.8701 0.7401 0.2205  1 Tc 1.85
Rb 0.6397 0.2794 0.0707  6 N 3.06-3.17
Rb 0.3603 0.7206 0.9293  6 N 3.06-3.17
Pm 0.6610 0.3220 0.5766  7 N 2.43-2.68
Pm 0.3390 0.6780 0.4234  7 N 2.43-2.68

Results
**Density of states at the Fermi level**: 0.39 states/eV/atom
**Total moment**: 0.0000 μB per atom
**E_form (uncorrected)**: -0.402 eV per atom